Below is an optimized crystal structure of NbSbBr, with properties calculated at the GGA-PBE level.

Values from the calculation:
Calculated volume ... 26.67 Å³ per atom
Formation energy without anion corrections ... -0.3101 eV/atom
Electronic total energy ... -5.598 eV/atom

POSCAR file:
```
NbSbBr
1.0
0.242 2.021 2.944
-5.160 -2.405 4.252
3.912 -2.569 5.792
Br Sb Nb
2 2 2
Direct
0.913 0.789 0.942
0.087 0.211 0.058
0.062 0.294 0.541
0.938 0.706 0.459
0.547 0.013 0.697
0.453 0.987 0.303
```

=====

Below is an optimized crystal structure of Nb3SbBr, with properties calculated at the GGA-PBE level.

Values from the calculation:
Calculated volume ... 21.68 Å³ per atom
Formation energy without anion corrections ... 0.9556 eV/atom
Electronic total energy ... -6.245 eV/atom

POSCAR file:
```
Nb3SbBr
1.0
-1.385 2.422 -3.867
-4.518 -0.162 1.516
0.639 4.104 2.342
Sb Nb Br
1 3 1
Direct
0.500 0.500 0.500
0.000 0.500 0.000
0.000 0.000 0.500
0.500 0.000 0.000
0.000 0.000 0.000
```

=====

Magnetic moment readings, ordered: 0.0, 0.0 μB per formula unit